[1]
{
  "formula": "YBiTe3",
  "functional": "PBE",
  "state": "optimized geometry",
  "space_group": "Pm-3m (221)",
  "de_polymorph_mev_per_atom": 715,
  "volume_a3_per_atom": 39.067,
  "lattice_angstrom": [[-0.370, -5.082, 2.775], [5.758, -0.031, 0.711], [-0.608, 2.800, 5.045]],
  "species": ["Y", "Te", "Te", "Te", "Bi"],
  "fractional_positions": [[0.000, 0.000, 0.000], [0.000, 0.500, 0.000], [0.000, 0.000, 0.500], [0.500, 0.000, 0.000], [0.500, 0.500, 0.500]]
}



[2]
{
  "formula": "Y5BiTe5",
  "functional": "PBE",
  "state": "optimized geometry",
  "space_group": "C2/m (12)",
  "volume_a3_per_atom": 32.194,
  "lattice_angstrom": [[6.217, 0.000, 0.000], [-3.108, 6.882, -0.072], [0.000, -2.654, 8.305]],
  "species": ["Y", "Y", "Y", "Y", "Y", "Bi", "Te", "Te", "Te", "Te", "Te"],
  "fractional_positions": [[0.834, 0.667, 0.171], [0.835, 0.669, 0.663], [0.500, 0.000, 0.000], [0.165, 0.331, 0.337], [0.166, 0.333, 0.829], [0.000, 0.000, 0.000], [0.662, 0.324, 0.337], [0.666, 0.332, 0.830], [0.000, 0.000, 0.500], [0.334, 0.668, 0.170], [0.338, 0.676, 0.663]]
}



no.,formation energy from raw total energies (eV per atom)
1,-0.099
2,-1.322